Density functional theory data (PBE-GGA) for crystalline Ni2SbIr at its relaxed geometry.

Computed properties:
Raw formation energy, eV per atom: 0.06

Cell lengths 4.6150, 4.6150, 4.6197 Å; angles 129.90, 129.89, 73.50 degrees
Sites, in units of the cell vectors:
Ir (0.2500, 0.7500, 0.5000)
Ni (0.0000, 0.0000, 0.0000)
Ni (0.5000, 0.5000, 0.0000)
Sb (0.7500, 0.2500, 0.5000)

Density functional theory data (PBE-GGA) for crystalline NiSbIr2 at its relaxed geometry.

Computed properties:
Raw formation energy, eV per atom: 0.57

Cell lengths 2.8740, 2.8740, 9.0861 Å; angles 90.00, 90.00, 120.78 degrees
Sites, in units of the cell vectors:
Ir (0.0000, 0.0000, 0.0098)
Ir (0.5000, 0.5000, 0.2594)
Ni (0.0000, 0.0000, 0.4905)
Sb (0.5000, 0.5000, 0.7403)

Density functional theory data (PBE-GGA) for crystalline NiSb2Ir at its relaxed geometry.

Computed properties:
Energy above the lowest structure with this stoichiometry, meV/atom: 276.3
Raw formation energy, eV per atom: 0.19

Cell lengths 6.0129, 6.0129, 6.8954 Å; angles 64.15, 64.15, 90.00 degrees
Sites, in units of the cell vectors:
Sb (0.6139, 0.1250, 0.2500)
Sb (0.1361, 0.6250, 0.2500)
Sb (0.3750, 0.3861, 0.7500)
Sb (0.8750, 0.8639, 0.7500)
Ir (0.0000, 0.0000, 0.0000)
Ir (0.7500, 0.2500, 0.5000)
Ni (0.5000, 0.5000, 0.0000)
Ni (0.2500, 0.7500, 0.5000)

Density functional theory data (PBE-GGA) for crystalline NiSbIr2 at its relaxed geometry.

Computed properties:
Raw formation energy, eV per atom: 0.20

Cell lengths 4.6190, 4.6190, 4.8314 Å; angles 79.95, 79.95, 37.66 degrees
Last column: magnetic moment on the atom in μB.
Sites, in units of the cell vectors:
Ir (0.0030, 0.0030, 0.9864)  0.03
Ir (0.7532, 0.7532, 0.7295)  0.02
Ni (0.4957, 0.4957, 0.5216)  0.07
Sb (0.2481, 0.2481, 0.2624)  0.00

| no. | calculated volume (Å³/f.u.) | total moment (μB/cell) |
| --- | --- | --- |
| 1 | 56.5 | 0.000 |
| 2 | 64.5 | 0.001 |
| 3 | 98.1 | 0.000 |
| 4 | 61.9 | 0.113 |